The following is a PBE-GGA calculation of a relaxed structure of PdSeCl2, from Alexandria via LeMat-Bulk.

a = 8.0590 Å, b = 8.0590 Å, c = 8.0590 Å
α = 26.70°, β = 26.70°, γ = 26.70°
Closest atoms and distances in Å follow each position.
Sites, in units of the cell vectors:
Pd1 0.0000 0.0000 0.0000  6 Cl 2.60
Se1 0.5000 0.5000 0.5000  2 Cl 2.42
Cl1 0.3962 0.3962 0.3962  1 Se 2.42, 3 Pd 2.60
Cl2 0.6038 0.6038 0.6038  1 Se 2.42, 3 Pd 2.60

Summary:
Energy above the lowest structure with this stoichiometry (meV/atom): 32
Total magnetic moment (μB per formula unit): 0.34
Space-group type: R-3m (166)
Formation energy (no corrections) (eV/atom): 0.082
N(E_F) (states/eV per cell): 3.1
Energy (eV/atom): -3.0108